(1)
First-principles (PBE) data for a geometry-optimized Fe2SnCl6 structure, as listed in OQMD via LeMat-Bulk.

Lattice parameters (Å, degrees): 6.2699 6.2702 7.3472 64.99 64.81 60.31
Closest atoms and distances in Å follow each position.
Fractional coordinates of all 9 atoms:
Cl: 0.7060 0.4159 0.9231  2 Fe 2.43-2.50
Cl: 0.5679 0.5593 0.4828  2 Fe 2.44-2.49
Cl: 0.3893 0.0734 0.9224  2 Fe 2.44-2.49
Cl: 0.1903 0.1930 0.4825  2 Fe 2.47-2.48
Cl: 0.8254 0.9348 0.4815  2 Fe 2.45-2.50
Cl: 0.0516 0.7561 0.9208  2 Fe 2.46-2.48
Sn: 0.2765 0.6425 0.2378  6 Cl 2.80-2.89
Fe: 0.7812 0.1510 0.7212  6 Cl 2.43-2.50
Fe: 0.4560 0.8207 0.7041  6 Cl 2.44-2.50

Computed properties:
Relative energy among the computed polymorphs, eV per formula unit: 0.10
V, Å³/atom: 24.29
M_tot, Bohr magnetons per cell: 8.0



(2)
First-principles (PBE) data for a geometry-optimized Fe2SnCl6 structure, as listed in OQMD via LeMat-Bulk.

Lattice parameters (Å, degrees): 6.3205 6.3276 6.1969 90.01 89.94 120.05
Closest atoms and distances in Å follow each position.
Fractional coordinates of all 9 atoms:
Cl: 0.2922 0.5149 0.5030  2 Fe 2.45-2.46
Cl: 0.6547 0.1528 0.5031  2 Fe 2.45-2.47
Cl: 0.9304 0.1520 0.9561  2 Fe 2.47
Cl: 0.9312 0.7916 0.5015  2 Fe 2.47
Cl: 0.6557 0.5161 0.9544  2 Fe 2.45
Cl: 0.2915 0.7906 0.9559  2 Fe 2.46-2.47
Fe: 0.6241 0.8177 0.7287  6 Cl 2.45-2.47
Fe: 0.9569 0.4847 0.7287  6 Cl 2.45-2.47
Sn: 0.2894 0.1503 0.2284  6 Cl 2.83-2.87

Computed properties:
Relative energy among the computed polymorphs, eV per formula unit: 0.00
V, Å³/atom: 23.84
M_tot, Bohr magnetons per cell: 8.0



(3)
First-principles (PBE) data for a geometry-optimized FeSnCl4 structure, as listed in OQMD via LeMat-Bulk.

Lattice parameters (Å, degrees): 3.7852 6.0937 6.9285 94.28 89.99 89.98
Closest atoms and distances in Å follow each position.
Fractional coordinates of all 6 atoms:
Fe: 0.9938 0.2394 0.9992  6 Cl 2.47-2.52
Cl: 0.9945 0.9915 0.7002  1 Fe 2.47
Cl: 0.4943 0.0186 0.1274  2 Fe 2.52, 1 Sn 2.82
Cl: 0.4940 0.4603 0.8710  2 Fe 2.52, 1 Sn 2.82
Cl: 0.9942 0.4872 0.2983  1 Fe 2.47
Sn: 0.4945 0.2393 0.4992  6 Cl 2.82-2.85

Computed properties:
Relative energy among the computed polymorphs, eV per formula unit: 0.00
V, Å³/atom: 26.56
M_tot, Bohr magnetons per cell: 4.0



(4)
First-principles (PBE) data for a geometry-optimized FeSnCl4 structure, as listed in OQMD via LeMat-Bulk.

Lattice parameters (Å, degrees): 3.5767 7.0207 6.8851 88.27 75.10 89.97
Closest atoms and distances in Å follow each position.
Fractional coordinates of all 6 atoms:
Cl: 0.9703 0.9516 0.3913  1 Fe 2.32
Cl: 0.3887 0.5101 0.5565  2 Sn 2.63-2.64
Cl: 0.6913 0.8384 0.9435  2 Fe 2.45
Cl: 0.6524 0.2804 0.0220  2 Fe 2.42-2.43
Fe: 0.1364 0.0482 0.0550  5 Cl 2.32-2.45
Sn: 0.0270 0.5920 0.2759  3 Cl 2.63-2.66

Computed properties:
Relative energy among the computed polymorphs, eV per formula unit: 0.07
V, Å³/atom: 27.83
M_tot, Bohr magnetons per cell: 4.0